Entry 1:
{
  "formula": "CaY2Al",
  "functional": "SCAN",
  "state": "single point on PBEsol structure",
  "sg": "P4/mmm, No. 123",
  "energy_ha_per_atom": -0.6776,
  "total_magnetization_mub_per_cell": 0.20,
  "lattice": [[-2.187, 0.006, -2.835], [-2.735, -0.945, 2.108], [-1.891, 8.774, 1.478]],
  "species": ["Y", "Y", "Ca", "Al"],
  "frac_coords": [[0.000, 0.000, 0.807], [0.000, 0.000, 0.193], [0.500, 0.500, 0.500], [0.500, 0.500, 0.000]]
}



Entry 2:
{
  "formula": "Ca4YAl",
  "functional": "SCAN",
  "state": "single point on PBEsol structure",
  "sg": "F-43m, No. 216",
  "energy_ha_per_atom": -0.4392,
  "total_magnetization_mub_per_cell": 2.19,
  "lattice": [[-4.480, 1.817, -4.464], [1.329, -0.579, -6.419], [-3.092, -4.557, -3.602]],
  "species": ["Ca", "Ca", "Y", "Ca", "Al", "Ca"],
  "frac_coords": [[0.375, 0.375, 0.876], [0.876, 0.375, 0.375], [0.750, 0.750, 0.750], [0.375, 0.375, 0.375], [0.000, 0.000, 0.000], [0.375, 0.876, 0.375]]
}



Entry 3:
{
  "formula": "CaAlZn2",
  "functional": "SCAN",
  "state": "single point on PBEsol structure",
  "sg": "R-3m, No. 166",
  "energy_ha_per_atom": -0.4182,
  "total_magnetization_mub_per_cell": 0.00,
  "lattice": [[-2.578, 0.157, -3.424], [1.588, -0.733, -3.916], [-1.329, -5.157, -1.922]],
  "species": ["Zn", "Al", "Zn", "Ca"],
  "frac_coords": [[0.792, 0.792, 0.625], [0.500, 0.500, 0.500], [0.208, 0.208, 0.375], [0.000, 0.000, 0.000]]
}



Entry 4:
{
  "formula": "CaAlZn2",
  "functional": "SCAN",
  "state": "single point on PBEsol structure",
  "sg": "P4/mmm, No. 123",
  "energy_ha_per_atom": -0.4142,
  "total_magnetization_mub_per_cell": 0.00,
  "lattice": [[-1.708, 2.343, 1.503], [1.474, -0.734, 2.820], [5.078, 4.633, -1.449]],
  "species": ["Al", "Zn", "Zn", "Ca"],
  "frac_coords": [[0.500, 0.500, 0.000], [0.000, 0.000, 0.206], [0.000, 0.000, 0.794], [0.500, 0.500, 0.500]]
}



Entry 5:
{
  "formula": "CaAlZn",
  "functional": "SCAN",
  "state": "single point on PBEsol structure",
  "sg": "P-6m2, No. 187",
  "energy_ha_per_atom": -0.3902,
  "total_magnetization_mub_per_cell": 0.00,
  "lattice": [[3.538, 0.000, 0.000], [0.000, 4.540, 0.000], [0.000, -2.270, 3.932]],
  "species": ["Al", "Ca", "Zn"],
  "frac_coords": [[0.500, 0.000, 0.000], [0.000, 0.333, 0.667], [0.500, 0.667, 0.333]]
}



Entry 6:
{
  "formula": "CaZrAlZn2",
  "functional": "SCAN",
  "state": "single point on PBEsol structure",
  "sg": "P4/mmm, No. 123",
  "energy_ha_per_atom": -0.4994,
  "total_magnetization_mub_per_cell": 0.00,
  "lattice": [[4.970, 0.000, 0.000], [0.000, 4.970, 0.000], [0.000, 0.000, 5.131]],
  "species": ["Zn", "Zn", "Zr", "Ca", "Al"],
  "frac_coords": [[0.000, 0.500, 0.000], [0.500, 0.000, 0.000], [0.000, 0.000, 0.500], [0.000, 0.000, 0.000], [0.500, 0.500, 0.500]]
}



Entry 7:
{
  "formula": "CaZrAl2",
  "functional": "SCAN",
  "state": "single point on PBEsol structure",
  "sg": "I-42d, No. 122",
  "energy_ha_per_atom": -0.5030,
  "total_magnetization_mub_per_cell": 0.00,
  "lattice": [[-2.708, 5.176, -2.120], [-0.066, 1.167, -6.175], [-6.099, -0.080, -1.514]],
  "species": ["Al", "Ca", "Zr", "Zr", "Al", "Ca", "Al", "Al"],
  "frac_coords": [[0.875, 0.486, 0.014], [0.250, 0.500, 0.500], [0.750, 0.500, 0.500], [0.000, 0.000, 0.000], [0.111, 0.014, 0.514], [0.500, 0.000, 0.000], [0.375, 0.514, 0.986], [0.639, 0.986, 0.486]]
}



Entry 8:
{
  "formula": "CaZrAl2",
  "functional": "SCAN",
  "state": "single point on PBEsol structure",
  "sg": "P4/mmm, No. 123",
  "energy_ha_per_atom": -0.5213,
  "total_magnetization_mub_per_cell": 0.00,
  "lattice": [[3.173, 0.000, 0.000], [0.000, 5.095, 0.000], [0.000, 0.000, 5.095]],
  "species": ["Zr", "Al", "Al", "Ca"],
  "frac_coords": [[0.500, 0.000, 0.000], [0.000, 0.500, 0.000], [0.000, 0.000, 0.500], [0.500, 0.500, 0.500]]
}



Entry 9:
{
  "formula": "Ca2ZrAl",
  "functional": "SCAN",
  "state": "single point on PBEsol structure",
  "sg": "R-3m, No. 166",
  "energy_ha_per_atom": -0.5212,
  "total_magnetization_mub_per_cell": 0.00,
  "lattice": [[3.316, 0.000, 0.000], [1.658, 2.872, 0.000], [1.658, 0.957, 10.968]],
  "species": ["Al", "Ca", "Zr", "Ca"],
  "frac_coords": [[0.000, 0.000, 0.000], [0.745, 0.745, 0.764], [0.500, 0.500, 0.500], [0.255, 0.255, 0.236]]
}



Entry 10:
{
  "formula": "CaZrAl",
  "functional": "SCAN",
  "state": "single point on PBEsol structure",
  "sg": "F-43m, No. 216",
  "energy_ha_per_atom": -0.5625,
  "total_magnetization_mub_per_cell": 0.00,
  "lattice": [[4.861, 0.000, 0.000], [2.430, 4.210, 0.000], [2.430, 1.403, 3.969]],
  "species": ["Ca", "Zr", "Al"],
  "frac_coords": [[0.500, 0.500, 0.500], [0.250, 0.250, 0.250], [0.000, 0.000, 0.000]]
}



Entry 11:
{
  "formula": "CaZr3Al",
  "functional": "SCAN",
  "state": "single point on PBEsol structure",
  "sg": "Pm-3m, No. 221",
  "energy_ha_per_atom": -0.7849,
  "total_magnetization_mub_per_cell": 0.00,
  "lattice": [[5.127, 0.000, 0.000], [0.000, 5.127, 0.000], [0.000, 0.000, 5.127]],
  "species": ["Zr", "Zr", "Ca", "Zr", "Al"],
  "frac_coords": [[0.000, 0.000, 0.500], [0.000, 0.500, 0.000], [0.500, 0.500, 0.500], [0.500, 0.000, 0.000], [0.000, 0.000, 0.000]]
}



Entry 12:
{
  "formula": "CaZr2Al",
  "functional": "SCAN",
  "state": "single point on PBEsol structure",
  "sg": "C2/m, No. 12",
  "energy_ha_per_atom": -0.7243,
  "total_magnetization_mub_per_cell": 0.00,
  "lattice": [[3.258, 0.000, 0.000], [0.000, 5.137, -0.048], [-1.629, -2.500, 5.511]],
  "species": ["Zr", "Ca", "Zr", "Al"],
  "frac_coords": [[0.280, 0.280, 0.560], [0.500, 0.000, 0.000], [0.720, 0.720, 0.440], [0.000, 0.500, 0.000]]
}